1.
# MgCr2Cl PBE optimized geometry
data_MgCr2Cl
_cell_length_a 3.209
_cell_length_b 3.392
_cell_length_c 7.557
_cell_angle_alpha 89.80
_cell_angle_beta 90.00
_cell_angle_gamma 90.00
_space_group_name_H-M_alt 'P 1'
_space_group_IT_number 1
_space_group_name_Hall 'P 1'
loop_
_atom_site_label
_atom_site_type_symbol
_atom_site_fract_x
_atom_site_fract_y
_atom_site_fract_z
_atom_site_occupancy
Cl1 Cl 0.500 0.750 0.750 1
Cr1 Cr 0.000 0.752 0.017 1
Cr2 Cr 0.000 0.748 0.483 1
Mg1 Mg 0.500 0.250 0.250 1
# ΔE_f (raw) = 0.358 eV/atom
# distance to the lowest polymorph of the same formula = 373 meV/atom
# total magnetization = 8.55 μB per cell



2.
# MgCr2Cl PBE optimized geometry
data_MgCr2Cl
_cell_length_a 3.182
_cell_length_b 3.182
_cell_length_c 8.657
_cell_angle_alpha 90.00
_cell_angle_beta 90.00
_cell_angle_gamma 115.52
_space_group_name_H-M_alt 'P 1'
_space_group_IT_number 1
_space_group_name_Hall 'P 1'
loop_
_atom_site_label
_atom_site_type_symbol
_atom_site_fract_x
_atom_site_fract_y
_atom_site_fract_z
_atom_site_occupancy
Cl1 Cl 0.500 0.500 0.750 1
Cr1 Cr 0.000 0.000 0.982 1
Cr2 Cr 0.000 0.000 0.518 1
Mg1 Mg 0.500 0.500 0.250 1
# ΔE_f (raw) = 0.408 eV/atom
# distance to the lowest polymorph of the same formula = 422 meV/atom
# total magnetization = 8.96 μB per cell



3.
# Mg2CrCl PBE optimized geometry
data_Mg2CrCl
_cell_length_a 8.701
_cell_length_b 8.701
_cell_length_c 8.701
_cell_angle_alpha 22.07
_cell_angle_beta 22.07
_cell_angle_gamma 22.07
_space_group_name_H-M_alt 'P 1'
_space_group_IT_number 1
_space_group_name_Hall 'P 1'
loop_
_atom_site_label
_atom_site_type_symbol
_atom_site_fract_x
_atom_site_fract_y
_atom_site_fract_z
_atom_site_occupancy
Cl1 Cl 0.250 0.250 0.250 1
Cr1 Cr 0.750 0.750 0.750 1
Mg1 Mg 0.997 0.997 0.997 1
Mg2 Mg 0.503 0.503 0.503 1
# ΔE_f (raw) = -0.140 eV/atom
# distance to the lowest polymorph of the same formula = 74 meV/atom
# total magnetization = 4.40 μB per cell



4.
# MgCrCl2 PBE optimized geometry
data_MgCrCl2
_cell_length_a 6.563
_cell_length_b 6.563
_cell_length_c 7.385
_cell_angle_alpha 49.80
_cell_angle_beta 49.80
_cell_angle_gamma 29.36
_space_group_name_H-M_alt 'P 1'
_space_group_IT_number 1
_space_group_name_Hall 'P 1'
loop_
_atom_site_label
_atom_site_type_symbol
_atom_site_fract_x
_atom_site_fract_y
_atom_site_fract_z
_atom_site_occupancy
Cl1 Cl 0.932 0.932 0.078 1
Cl2 Cl 0.820 0.820 0.711 1
Cr1 Cr 0.492 0.492 0.492 1
Mg1 Mg 0.256 0.256 0.219 1
# ΔE_f (raw) = -0.555 eV/atom
# distance to the lowest polymorph of the same formula = 87 meV/atom
# total magnetization = 3.99 μB per cell



5.
# Mg2CrCl PBE optimized geometry
data_Mg2CrCl
_cell_length_a 3.198
_cell_length_b 3.303
_cell_length_c 7.949
_cell_angle_alpha 90.14
_cell_angle_beta 90.00
_cell_angle_gamma 90.00
_space_group_name_H-M_alt 'P 1'
_space_group_IT_number 1
_space_group_name_Hall 'P 1'
loop_
_atom_site_label
_atom_site_type_symbol
_atom_site_fract_x
_atom_site_fract_y
_atom_site_fract_z
_atom_site_occupancy
Cl1 Cl 0.500 0.250 0.250 1
Cr1 Cr 0.500 0.750 0.750 1
Mg1 Mg 0.000 0.251 0.985 1
Mg2 Mg 0.000 0.249 0.515 1
# ΔE_f (raw) = -0.215 eV/atom
# distance to the lowest polymorph of the same formula = 0 meV/atom
# total magnetization = 4.00 μB per cell



6.
# MgCrCl2 PBE optimized geometry
data_MgCrCl2
_cell_length_a 4.946
_cell_length_b 4.946
_cell_length_c 8.535
_cell_angle_alpha 73.16
_cell_angle_beta 73.16
_cell_angle_gamma 90.00
_space_group_name_H-M_alt 'P 1'
_space_group_IT_number 1
_space_group_name_Hall 'P 1'
loop_
_atom_site_label
_atom_site_type_symbol
_atom_site_fract_x
_atom_site_fract_y
_atom_site_fract_z
_atom_site_occupancy
Cr1 Cr 0.000 0.000 0.000 1
Cr2 Cr 0.750 0.250 0.500 1
Mg1 Mg 0.500 0.500 0.000 1
Mg2 Mg 0.250 0.750 0.500 1
Cl1 Cl 0.632 0.125 0.250 1
Cl2 Cl 0.118 0.625 0.250 1
Cl3 Cl 0.375 0.368 0.750 1
Cl4 Cl 0.875 0.882 0.750 1
# ΔE_f (raw) = -0.383 eV/atom
# distance to the lowest polymorph of the same formula = 259 meV/atom
# total magnetization = 9.62 μB per cell



7.
# MgCrCl2 PBE optimized geometry
data_MgCrCl2
_cell_length_a 6.990
_cell_length_b 6.990
_cell_length_c 4.692
_cell_angle_alpha 69.75
_cell_angle_beta 69.75
_cell_angle_gamma 29.28
_space_group_name_H-M_alt 'P 1'
_space_group_IT_number 1
_space_group_name_Hall 'P 1'
loop_
_atom_site_label
_atom_site_type_symbol
_atom_site_fract_x
_atom_site_fract_y
_atom_site_fract_z
_atom_site_occupancy
Cl1 Cl 0.115 0.115 0.886 1
Cl2 Cl 0.385 0.385 0.614 1
Cr1 Cr 0.750 0.750 0.750 1
Mg1 Mg 0.250 0.250 0.250 1
# ΔE_f (raw) = -0.531 eV/atom
# distance to the lowest polymorph of the same formula = 111 meV/atom
# total magnetization = 4.00 μB per cell



8.
# Mg3CrCl PBE optimized geometry
data_Mg3CrCl
_cell_length_a 4.777
_cell_length_b 4.777
_cell_length_c 4.777
_cell_angle_alpha 90.00
_cell_angle_beta 90.00
_cell_angle_gamma 90.00
_space_group_name_H-M_alt 'P 1'
_space_group_IT_number 1
_space_group_name_Hall 'P 1'
loop_
_atom_site_label
_atom_site_type_symbol
_atom_site_fract_x
_atom_site_fract_y
_atom_site_fract_z
_atom_site_occupancy
Cr1 Cr 0.500 0.500 0.500 1
Mg1 Mg 0.000 0.500 0.000 1
Mg2 Mg 0.000 0.000 0.500 1
Mg3 Mg 0.500 0.000 0.000 1
Cl1 Cl 0.000 0.000 0.000 1
# ΔE_f (raw) = 0.773 eV/atom
# distance to the lowest polymorph of the same formula = 333 meV/atom
# total magnetization = 0.00 μB per cell



9.
# Mg3CrCl PBE optimized geometry
data_Mg3CrCl
_cell_length_a 5.385
_cell_length_b 5.385
_cell_length_c 5.385
_cell_angle_alpha 90.00
_cell_angle_beta 90.00
_cell_angle_gamma 90.00
_space_group_name_H-M_alt 'P 1'
_space_group_IT_number 1
_space_group_name_Hall 'P 1'
loop_
_atom_site_label
_atom_site_type_symbol
_atom_site_fract_x
_atom_site_fract_y
_atom_site_fract_z
_atom_site_occupancy
Cr1 Cr 0.000 0.000 0.000 1
Mg1 Mg 0.000 0.500 0.000 1
Mg2 Mg 0.000 0.000 0.500 1
Mg3 Mg 0.500 0.000 0.000 1
Cl1 Cl 0.500 0.500 0.500 1
# ΔE_f (raw) = 0.441 eV/atom
# distance to the lowest polymorph of the same formula = 0 meV/atom
# total magnetization = 4.89 μB per cell



10.
# MgCr2Cl PBE optimized geometry
data_MgCr2Cl
_cell_length_a 3.140
_cell_length_b 3.140
_cell_length_c 7.835
_cell_angle_alpha 90.00
_cell_angle_beta 90.00
_cell_angle_gamma 90.00
_space_group_name_H-M_alt 'P 1'
_space_group_IT_number 1
_space_group_name_Hall 'P 1'
loop_
_atom_site_label
_atom_site_type_symbol
_atom_site_fract_x
_atom_site_fract_y
_atom_site_fract_z
_atom_site_occupancy
Cl1 Cl 0.500 0.500 0.750 1
Cr1 Cr 0.000 0.000 0.986 1
Cr2 Cr 0.000 0.000 0.514 1
Mg1 Mg 0.500 0.500 0.250 1
# ΔE_f (raw) = 0.429 eV/atom
# distance to the lowest polymorph of the same formula = 444 meV/atom
# total magnetization = 8.85 μB per cell



11.
# Mg2CrCl PBE optimized geometry
data_Mg2CrCl
_cell_length_a 10.890
_cell_length_b 10.890
_cell_length_c 10.890
_cell_angle_alpha 16.10
_cell_angle_beta 16.10
_cell_angle_gamma 16.10
_space_group_name_H-M_alt 'P 1'
_space_group_IT_number 1
_space_group_name_Hall 'P 1'
loop_
_atom_site_label
_atom_site_type_symbol
_atom_site_fract_x
_atom_site_fract_y
_atom_site_fract_z
_atom_site_occupancy
Cl1 Cl 0.464 0.464 0.464 1
Cr1 Cr 0.754 0.754 0.754 1
Mg1 Mg 0.019 0.019 0.019 1
Mg2 Mg 0.263 0.263 0.263 1
# ΔE_f (raw) = 0.029 eV/atom
# distance to the lowest polymorph of the same formula = 244 meV/atom
# total magnetization = 0.00 μB per cell



12.
# MgCr2Cl PBE optimized geometry
data_MgCr2Cl
_cell_length_a 3.115
_cell_length_b 3.115
_cell_length_c 8.079
_cell_angle_alpha 90.00
_cell_angle_beta 90.00
_cell_angle_gamma 89.78
_space_group_name_H-M_alt 'P 1'
_space_group_IT_number 1
_space_group_name_Hall 'P 1'
loop_
_atom_site_label
_atom_site_type_symbol
_atom_site_fract_x
_atom_site_fract_y
_atom_site_fract_z
_atom_site_occupancy
Cl1 Cl 0.500 0.500 0.673 1
Cr1 Cr 0.000 0.000 0.095 1
Cr2 Cr 0.500 0.500 0.239 1
Mg1 Mg 0.000 0.000 0.493 1
# ΔE_f (raw) = 0.025 eV/atom
# distance to the lowest polymorph of the same formula = 40 meV/atom
# total magnetization = 0.53 μB per cell



13.
# Mg2CrCl PBE optimized geometry
data_Mg2CrCl
_cell_length_a 7.543
_cell_length_b 7.543
_cell_length_c 6.207
_cell_angle_alpha 52.59
_cell_angle_beta 52.59
_cell_angle_gamma 90.00
_space_group_name_H-M_alt 'P 1'
_space_group_IT_number 1
_space_group_name_Hall 'P 1'
loop_
_atom_site_label
_atom_site_type_symbol
_atom_site_fract_x
_atom_site_fract_y
_atom_site_fract_z
_atom_site_occupancy
Cr1 Cr 0.000 0.000 0.000 1
Cr2 Cr 0.750 0.250 0.500 1
Mg1 Mg 0.594 0.125 0.250 1
Mg2 Mg 0.156 0.625 0.250 1
Mg3 Mg 0.375 0.406 0.750 1
Mg4 Mg 0.875 0.844 0.750 1
Cl1 Cl 0.500 0.500 0.000 1
Cl2 Cl 0.250 0.750 0.500 1
# ΔE_f (raw) = 0.086 eV/atom
# distance to the lowest polymorph of the same formula = 301 meV/atom
# total magnetization = 9.65 μB per cell